Tm2ZnGa8 PBE relaxed; crystal system = tetragonal; formation enthalpy at 0 K = -0.34 eV per atom; size of the total moment = 0.00 μB per atom
1.0
-0.495 -2.496 -3.576
3.877 -1.901 0.790
-4.979 -7.649 6.028
Zn Ga Tm
1 8 2
Cartesian
0.000 0.000 0.000
-0.886 -2.229 -1.015
1.300 -1.931 1.168
-0.551 -4.775 3.409
-1.763 -7.505 2.788
-2.402 -7.619 5.650
-2.737 -5.072 1.226
0.166 -4.541 0.453
-4.588 -7.916 3.467
-3.434 -5.276 4.158
-1.544 -2.373 1.870

---

TmZn2Ga PBE relaxed; crystal system = cubic; formation enthalpy at 0 K = -0.26 eV per atom; size of the total moment = 0.00 μB per atom
1.0
4.707 0.000 0.000
2.354 4.077 0.000
2.354 1.359 3.844
Ga Tm Zn
1 1 2
Cartesian
4.707 2.718 1.922
0.000 0.000 0.000
2.354 1.359 0.961
7.061 4.077 2.883

---

Tm2ZnGa2 PBE relaxed; crystal system = monoclinic; formation enthalpy at 0 K = -0.57 eV per atom; size of the total moment = 0.00 μB per atom
1.0
4.350 0.000 0.000
2.175 5.246 -0.372
2.175 0.152 9.116
Tm Ga Zn
4 4 2
Cartesian
4.350 3.776 5.844
2.175 3.844 0.606
4.350 1.622 2.901
6.525 1.554 8.138
6.525 3.799 3.679
2.175 0.870 0.998
6.525 4.528 7.747
2.175 1.599 5.066
4.350 0.656 5.948
4.350 4.741 2.796

---

TmZn2Ga2 PBE relaxed; crystal system = tetragonal; formation enthalpy at 0 K = -0.38 eV per atom; size of the total moment = 0.00 μB per atom
1.0
4.101 0.000 0.000
0.000 4.101 0.000
0.000 0.000 10.751
Zn Ga Tm
4 4 2
Cartesian
2.051 0.000 6.888
0.000 0.000 0.000
0.000 2.051 3.863
2.051 2.051 0.000
0.000 0.000 5.376
0.000 2.051 1.489
2.051 0.000 9.263
2.051 2.051 5.376
0.000 2.051 8.077
2.051 0.000 2.675

---

Tm2Zn3Ga PBE relaxed; crystal system = orthorhombic; formation enthalpy at 0 K = -0.46 eV per atom; size of the total moment = 0.00 μB per atom
1.0
-2.791 -2.802 -3.989
4.026 -2.898 -2.635
-1.661 -2.997 8.148
Zn Tm Ga
6 4 2
Cartesian
0.136 -2.393 -0.857
0.754 -5.241 -4.167
-1.179 -3.455 5.691
-0.347 -1.946 1.610
-0.078 -6.751 -0.085
-0.562 -6.304 2.381
1.492 -4.372 1.101
-1.917 -4.324 0.424
2.350 -2.874 -2.968
-1.114 -2.825 -3.656
0.272 -4.789 -1.708
-0.697 -3.908 3.233

---

Tm6Zn2Ga PBE relaxed; crystal system = tetragonal; formation enthalpy at 0 K = -0.07 eV per atom; excess energy over the best structure of this formula in the dataset = 201 meV per atom; size of the total moment = 0.00 μB per atom
1.0
4.867 0.000 0.000
0.000 4.867 0.000
-2.433 -2.433 10.425
Tm Zn Ga
6 2 1
Cartesian
2.433 0.000 1.766
0.000 2.433 8.659
2.433 0.000 8.659
0.000 2.433 1.766
0.000 2.433 5.213
2.433 0.000 5.213
0.000 0.000 6.949
2.433 2.433 3.476
0.000 0.000 0.000

---

Tm4ZnGa PBE relaxed; crystal system = tetragonal; formation enthalpy at 0 K = -0.11 eV per atom; size of the total moment = 0.00 μB per atom
1.0
4.870 0.000 -0.002
0.000 4.871 -0.003
0.003 0.005 6.951
Tm Ga Zn
4 1 1
Cartesian
0.009 2.426 5.169
0.006 2.423 1.755
2.444 4.862 5.166
2.442 4.858 1.752
2.444 2.427 6.936
0.008 4.858 3.459

---

Tm3ZnGa12 PBE relaxed; crystal system = tetragonal; formation enthalpy at 0 K = -0.36 eV per atom; size of the total moment = 0.00 μB per atom
1.0
4.226 0.000 0.000
0.000 4.226 0.000
0.000 0.000 16.779
Ga Zn Tm
12 1 3
Cartesian
2.113 0.000 6.245
0.000 2.113 14.863
2.113 2.113 4.253
2.113 2.113 12.527
2.113 0.000 1.916
0.000 2.113 10.535
2.113 2.113 0.000
2.113 0.000 10.535
2.113 2.113 8.390
2.113 0.000 14.863
0.000 2.113 6.245
0.000 2.113 1.916
0.000 0.000 0.000
0.000 0.000 12.663
0.000 0.000 8.390
0.000 0.000 4.117